A plane-wave DFT calculation with PBE-GGA was carried out for a relaxed AcAg2Au crystal.

- energy above the lowest structure with this stoichiometry (kJ per mole of atoms) = 15.7
- symmetry = Fm-3m (225)
- magnetization (μB per formula unit) = 0.000
- V (Å³/cell) = 98.1
- energy of formation from the pure elements (eV/f.u.) = -1.1

```
data_AcAg2Au
_chemical_formula_sum 'Ac1 Ag2 Au1'
_cell_length_a 5.1775
_cell_length_b 5.1775
_cell_length_c 5.1775
_cell_angle_alpha 60.00
_cell_angle_beta 60.00
_cell_angle_gamma 60.00
_space_group_name_H-M_alt 'P 1'
_space_group_IT_number 1
loop_
_space_group_symop_operation_xyz
'x,y,z'
loop_
_atom_site_label
_atom_site_fract_x
_atom_site_fract_y
_atom_site_fract_z
Ac1 0.0000 0.0000 0.0000
Ag1 0.2500 0.2500 0.2500
Ag2 0.7500 0.7500 0.7500
Au1 0.5000 0.5000 0.5000
```